Record 1
# PBE Ca2BeTc, relaxed
# Total DFT energy (no corrections) = -17.15 eV for the cell shown
# Total magnetization = 0.00 μB per atom
# Formation energy = 0.2354 eV per atom
data_Ca2BeTc
_chemical_formula_sum 'Ca2 Be1 Tc1'
_cell_length_a 3.276
_cell_length_b 3.276
_cell_length_c 8.236
_cell_angle_alpha 90.00
_cell_angle_beta 90.00
_cell_angle_gamma 90.00
_space_group_name_H-M_alt 'P 4 m m'
_space_group_IT_number 99
_space_group_name_Hall 'P 4 -2'
loop_
_atom_site_label
_atom_site_fract_x
_atom_site_fract_y
_atom_site_fract_z
Ca1 0.000 0.000 0.000
Ca2 0.500 0.500 0.407
Be1 0.500 0.500 0.738
Tc1 0.000 0.000 0.666

---

Record 2
# PBE Ca4BeTc, relaxed
# Total DFT energy (no corrections) = -58.49 eV for the cell shown
# Total magnetization = 0.40 μB per atom
# Formation energy = 1.2460 eV per atom
data_Ca4BeTc
_chemical_formula_sum 'Ca16 Be4 Tc4'
_cell_length_a 8.804
_cell_length_b 8.804
_cell_length_c 8.804
_cell_angle_alpha 90.00
_cell_angle_beta 90.00
_cell_angle_gamma 90.00
_space_group_name_H-M_alt 'F -4 3 m'
_space_group_IT_number 216
_space_group_name_Hall 'F -4 2 3'
loop_
_atom_site_label
_atom_site_fract_x
_atom_site_fract_y
_atom_site_fract_z
Ca1 0.124 0.124 0.124
Be1 0.000 0.000 0.500
Tc1 0.250 0.250 0.750

---

Record 3
# PBE Ca2BeTc, relaxed
# Total DFT energy (no corrections) = -43.46 eV for the cell shown
# Total magnetization = 0.40 μB per atom
# Formation energy = 0.9019 eV per atom
data_Ca2BeTc
_chemical_formula_sum 'Ca6 Be3 Tc3'
_cell_length_a 3.2676
_cell_length_b 3.2676
_cell_length_c 28.3762
_cell_angle_alpha 90.00
_cell_angle_beta 90.00
_cell_angle_gamma 120.00
_space_group_name_H-M_alt 'R -3 m'
_space_group_IT_number 166
_space_group_name_Hall '-R 3 2"'
loop_
_atom_site_label
_atom_site_fract_x
_atom_site_fract_y
_atom_site_fract_z
Ca1 0.0000 0.0000 0.2488
Be1 0.0000 0.0000 0.0000
Tc1 0.0000 0.0000 0.5000

---

Record 4
# PBE CaBeTc2, relaxed
# Total DFT energy (no corrections) = -94.79 eV for the cell shown
# Total magnetization = 0.00 μB per atom
# Formation energy = 0.6905 eV per atom
data_CaBeTc2
_chemical_formula_sum 'Ca4 Be4 Tc8'
_cell_length_a 4.077
_cell_length_b 4.077
_cell_length_c 17.773
_cell_angle_alpha 90.00
_cell_angle_beta 90.00
_cell_angle_gamma 90.00
_space_group_name_H-M_alt 'I -4 2 d'
_space_group_IT_number 122
_space_group_name_Hall 'I -4 2bw'
loop_
_atom_site_label
_atom_site_fract_x
_atom_site_fract_y
_atom_site_fract_z
Ca1 0.000 0.000 0.000
Be1 0.000 0.000 0.500
Tc1 0.147 0.750 0.625

---

Record 5
# PBE CaBeTc2, relaxed
# Total DFT energy (no corrections) = -23.96 eV for the cell shown
# Total magnetization = 0.00 μB per atom
# Formation energy = 0.6247 eV per atom
data_CaBeTc2
_chemical_formula_sum 'Ca1 Be1 Tc2'
_cell_length_a 3.777
_cell_length_b 3.777
_cell_length_c 4.464
_cell_angle_alpha 90.00
_cell_angle_beta 90.00
_cell_angle_gamma 90.00
_space_group_name_H-M_alt 'P 4/m m m'
_space_group_IT_number 123
_space_group_name_Hall '-P 4 2'
loop_
_atom_site_label
_atom_site_fract_x
_atom_site_fract_y
_atom_site_fract_z
Ca1 0.000 0.000 0.000
Be1 0.500 0.500 0.000
Tc1 0.000 0.500 0.500

---

Record 6
# PBE CaBeTc, relaxed
# Energy above the most stable polymorph in this dataset = 1469 meV/atom
# Total DFT energy (no corrections) = -43.64 eV for the cell shown
# Total magnetization = 0.97 μB per atom
# Formation energy = 1.7278 eV per atom
data_CaBeTc
_chemical_formula_sum 'Ca4 Be4 Tc4'
_cell_length_a 6.468
_cell_length_b 6.468
_cell_length_c 6.468
_cell_angle_alpha 90.00
_cell_angle_beta 90.00
_cell_angle_gamma 90.00
_space_group_name_H-M_alt 'F -4 3 m'
_space_group_IT_number 216
_space_group_name_Hall 'F -4 2 3'
loop_
_atom_site_label
_atom_site_fract_x
_atom_site_fract_y
_atom_site_fract_z
Ca1 0.000 0.000 0.000
Be1 0.250 0.250 0.750
Tc1 0.250 0.250 0.250

---

Record 7
# PBE CaBeTc2, relaxed
# Total DFT energy (no corrections) = -49.48 eV for the cell shown
# Total magnetization = 0.00 μB per atom
# Formation energy = 0.4304 eV per atom
data_CaBeTc2
_chemical_formula_sum 'Ca2 Be2 Tc4'
_cell_length_a 3.462
_cell_length_b 4.239
_cell_length_c 8.325
_cell_angle_alpha 90.00
_cell_angle_beta 90.00
_cell_angle_gamma 90.00
_space_group_name_H-M_alt 'C m m m'
_space_group_IT_number 65
_space_group_name_Hall '-C 2 2'
loop_
_atom_site_label
_atom_site_fract_x
_atom_site_fract_y
_atom_site_fract_z
Ca1 0.000 0.000 0.000
Be1 0.000 0.000 0.500
Tc1 0.000 0.500 0.306

---

Record 8
# PBE CaBeTc2, relaxed
# Total DFT energy (no corrections) = -48.40 eV for the cell shown
# Total magnetization = 0.00 μB per atom
# Formation energy = 0.5646 eV per atom
data_CaBeTc2
_chemical_formula_sum 'Ca2 Be2 Tc4'
_cell_length_a 3.209
_cell_length_b 4.787
_cell_length_c 8.540
_cell_angle_alpha 90.00
_cell_angle_beta 90.00
_cell_angle_gamma 90.00
_space_group_name_H-M_alt 'I m m 2'
_space_group_IT_number 44
_space_group_name_Hall 'I 2 -2'
loop_
_atom_site_label
_atom_site_fract_x
_atom_site_fract_y
_atom_site_fract_z
Ca1 0.000 0.000 0.000
Be1 0.000 0.500 0.219
Tc1 0.000 0.000 0.504
Tc2 0.000 0.500 0.781

---

Record 9
# PBE CaBeTc2, relaxed
# Total DFT energy (no corrections) = -50.46 eV for the cell shown
# Total magnetization = 0.00 μB per atom
# Formation energy = 0.3076 eV per atom
data_CaBeTc2
_chemical_formula_sum 'Ca2 Be2 Tc4'
_cell_length_a 4.010
_cell_length_b 3.149
_cell_length_c 11.113
_cell_angle_alpha 90.00
_cell_angle_beta 90.00
_cell_angle_gamma 90.00
_space_group_name_H-M_alt 'A m m 2'
_space_group_IT_number 38
_space_group_name_Hall 'A 2 -2'
loop_
_atom_site_label
_atom_site_fract_x
_atom_site_fract_y
_atom_site_fract_z
Ca1 0.000 0.000 0.000
Be1 0.500 0.000 0.373
Tc1 0.000 0.000 0.258
Tc2 0.500 0.000 0.715

---

Record 10
# PBE CaBeTc2, relaxed
# Total DFT energy (no corrections) = -50.38 eV for the cell shown
# Total magnetization = 0.00 μB per atom
# Formation energy = 0.3173 eV per atom
data_CaBeTc2
_chemical_formula_sum 'Ca2 Be2 Tc4'
_cell_length_a 8.076
_cell_length_b 3.169
_cell_length_c 5.872
_cell_angle_alpha 90.00
_cell_angle_beta 100.30
_cell_angle_gamma 90.00
_space_group_name_H-M_alt 'C 1 m 1'
_space_group_IT_number 8
_space_group_name_Hall 'C -2y'
loop_
_atom_site_label
_atom_site_fract_x
_atom_site_fract_y
_atom_site_fract_z
Ca1 0.000 0.000 0.000
Be1 0.239 0.000 0.663
Tc1 0.014 0.500 0.519
Tc2 0.279 0.500 0.377

---

Record 11
# PBE CaBeTc2, relaxed
# Total DFT energy (no corrections) = -24.43 eV for the cell shown
# Total magnetization = 0.00 μB per atom
# Formation energy = 0.5072 eV per atom
data_CaBeTc2
_chemical_formula_sum 'Ca1 Be1 Tc2'
_cell_length_a 3.771
_cell_length_b 4.180
_cell_length_c 4.931
_cell_angle_alpha 90.00
_cell_angle_beta 106.70
_cell_angle_gamma 90.00
_space_group_name_H-M_alt 'P 1 2/m 1'
_space_group_IT_number 10
_space_group_name_Hall '-P 2y'
loop_
_atom_site_label
_atom_site_fract_x
_atom_site_fract_y
_atom_site_fract_z
Ca1 0.000 0.000 0.000
Be1 0.500 0.000 0.500
Tc1 0.313 0.500 0.651

---

Record 12
# PBE CaBe2Tc, relaxed
# Energy above the most stable polymorph in this dataset = 380 meV/atom
# Total DFT energy (no corrections) = -17.90 eV for the cell shown
# Total magnetization = 0.00 μB per atom
# Formation energy = 0.4808 eV per atom
data_CaBe2Tc
_chemical_formula_sum 'Ca1 Be2 Tc1'
_cell_length_a 4.524
_cell_length_b 4.524
_cell_length_c 2.734
_cell_angle_alpha 90.00
_cell_angle_beta 90.00
_cell_angle_gamma 90.00
_space_group_name_H-M_alt 'P 4/m m m'
_space_group_IT_number 123
_space_group_name_Hall '-P 4 2'
loop_
_atom_site_label
_atom_site_fract_x
_atom_site_fract_y
_atom_site_fract_z
Ca1 0.000 0.000 0.000
Be1 0.000 0.500 0.500
Tc1 0.500 0.500 0.000

---

Record 13
# PBE CaBeTc, relaxed
# Energy above the most stable polymorph in this dataset = 0 meV/atom
# Total DFT energy (no corrections) = -30.64 eV for the cell shown
# Total magnetization = 0.00 μB per atom
# Formation energy = 0.2584 eV per atom
data_CaBeTc
_chemical_formula_sum 'Ca2 Be2 Tc2'
_cell_length_a 3.187
_cell_length_b 3.205
_cell_length_c 10.270
_cell_angle_alpha 90.00
_cell_angle_beta 90.00
_cell_angle_gamma 90.00
_space_group_name_H-M_alt 'I m m 2'
_space_group_IT_number 44
_space_group_name_Hall 'I 2 -2'
loop_
_atom_site_label
_atom_site_fract_x
_atom_site_fract_y
_atom_site_fract_z
Ca1 0.000 0.000 0.000
Be1 0.000 0.000 0.271
Tc1 0.000 0.000 0.717

---

Record 14
# PBE CaBeTc2, relaxed
# Total DFT energy (no corrections) = -25.33 eV for the cell shown
# Total magnetization = 0.00 μB per atom
# Formation energy = 0.2824 eV per atom
data_CaBeTc2
_chemical_formula_sum 'Ca1 Be1 Tc2'
_cell_length_a 3.156
_cell_length_b 3.156
_cell_length_c 6.694
_cell_angle_alpha 90.00
_cell_angle_beta 90.00
_cell_angle_gamma 90.00
_space_group_name_H-M_alt 'P 4/m m m'
_space_group_IT_number 123
_space_group_name_Hall '-P 4 2'
loop_
_atom_site_label
_atom_site_fract_x
_atom_site_fract_y
_atom_site_fract_z
Ca1 0.000 0.000 0.000
Be1 0.000 0.000 0.500
Tc1 0.500 0.500 0.334

---

Record 15
# PBE CaBe2Tc, relaxed
# Energy above the most stable polymorph in this dataset = 495 meV/atom
# Total DFT energy (no corrections) = -34.87 eV for the cell shown
# Total magnetization = 0.00 μB per atom
# Formation energy = 0.5957 eV per atom
data_CaBe2Tc
_chemical_formula_sum 'Ca2 Be4 Tc2'
_cell_length_a 3.708
_cell_length_b 3.708
_cell_length_c 8.527
_cell_angle_alpha 90.00
_cell_angle_beta 90.00
_cell_angle_gamma 90.00
_space_group_name_H-M_alt 'I -4 m 2'
_space_group_IT_number 119
_space_group_name_Hall 'I -4 -2'
loop_
_atom_site_label
_atom_site_fract_x
_atom_site_fract_y
_atom_site_fract_z
Ca1 0.000 0.000 0.000
Be1 0.000 0.000 0.500
Be2 0.000 0.500 0.250
Tc1 0.000 0.500 0.750

---

Record 16
# PBE CaBe3Tc, relaxed
# Energy above the most stable polymorph in this dataset = 0 meV/atom
# Total DFT energy (no corrections) = -21.91 eV for the cell shown
# Total magnetization = 0.00 μB per atom
# Formation energy = 0.3272 eV per atom
data_CaBe3Tc
_chemical_formula_sum 'Ca1 Be3 Tc1'
_cell_length_a 4.346
_cell_length_b 4.346
_cell_length_c 4.346
_cell_angle_alpha 90.00
_cell_angle_beta 90.00
_cell_angle_gamma 90.00
_space_group_name_H-M_alt 'P m -3 m'
_space_group_IT_number 221
_space_group_name_Hall '-P 4 2 3'
loop_
_atom_site_label
_atom_site_fract_x
_atom_site_fract_y
_atom_site_fract_z
Ca1 0.000 0.000 0.000
Be1 0.000 0.500 0.500
Tc1 0.500 0.500 0.500

---

Record 17
# PBE Ca2BeVTc, relaxed
# Total DFT energy (no corrections) = -21.01 eV for the cell shown
# Total magnetization = 1.25 μB per atom
# Formation energy = 1.2417 eV per atom
data_Ca2BeVTc
_chemical_formula_sum 'Ca2 Be1 V1 Tc1'
_cell_length_a 5.240
_cell_length_b 5.240
_cell_length_c 4.459
_cell_angle_alpha 90.00
_cell_angle_beta 90.00
_cell_angle_gamma 90.00
_space_group_name_H-M_alt 'P 4/m m m'
_space_group_IT_number 123
_space_group_name_Hall '-P 4 2'
loop_
_atom_site_label
_atom_site_fract_x
_atom_site_fract_y
_atom_site_fract_z
Ca1 0.000 0.500 0.000
Be1 0.000 0.000 0.000
V1 0.000 0.000 0.500
Tc1 0.500 0.500 0.500

---

Record 18
# PBE CaBeTe, relaxed
# Energy above the most stable polymorph in this dataset = 394 meV/atom
# ΔE_f (raw) = 0.00 eV per atom
# Total DFT energy (no corrections) = -35.44 eV for the cell shown
# Total magnetization = 0.00 μB per atom
data_CaBeTe
_chemical_formula_sum 'Ca4 Be4 Te4'
_cell_length_a 6.689
_cell_length_b 6.689
_cell_length_c 6.689
_cell_angle_alpha 90.00
_cell_angle_beta 90.00
_cell_angle_gamma 90.00
_space_group_name_H-M_alt 'F -4 3 m'
_space_group_IT_number 216
_space_group_name_Hall 'F -4 2 3'
loop_
_atom_site_label
_atom_site_fract_x
_atom_site_fract_y
_atom_site_fract_z
Ca1 0.000 0.000 0.000
Be1 0.250 0.250 0.250
Te1 0.000 0.000 0.500

---

Record 19
# PBE CaBeTe2, relaxed
# ΔE_f (raw) = -0.82 eV per atom
# Total DFT energy (no corrections) = -15.29 eV for the cell shown
# Total magnetization = 0.00 μB per atom
data_CaBeTe2
_chemical_formula_sum 'Ca1 Be1 Te2'
_cell_length_a 4.694
_cell_length_b 4.169
_cell_length_c 6.464
_cell_angle_alpha 90.00
_cell_angle_beta 96.25
_cell_angle_gamma 90.00
_space_group_name_H-M_alt 'P 1 m 1'
_space_group_IT_number 6
_space_group_name_Hall 'P -2y'
loop_
_atom_site_label
_atom_site_fract_x
_atom_site_fract_y
_atom_site_fract_z
Ca1 0.000 0.000 0.000
Be1 0.727 0.500 0.361
Te1 0.501 0.500 0.013
Te2 0.924 0.000 0.502

---

Record 20
# PBE CaBeTe, relaxed
# Energy above the most stable polymorph in this dataset = 235 meV/atom
# ΔE_f (raw) = -0.16 eV per atom
# Total DFT energy (no corrections) = -18.67 eV for the cell shown
# Total magnetization = 0.00 μB per atom
data_CaBeTe
_chemical_formula_sum 'Ca2 Be2 Te2'
_cell_length_a 3.646
_cell_length_b 3.646
_cell_length_c 10.546
_cell_angle_alpha 90.00
_cell_angle_beta 90.00
_cell_angle_gamma 90.00
_space_group_name_H-M_alt 'I 4 m m'
_space_group_IT_number 107
_space_group_name_Hall 'I 4 -2'
loop_
_atom_site_label
_atom_site_fract_x
_atom_site_fract_y
_atom_site_fract_z
Ca1 0.000 0.000 0.000
Be1 0.000 0.000 0.701
Te1 0.000 0.000 0.293